LaPr3 | meta-GGA SCAN | single point on PBEsol structure

Results
**Total magnetization**: 0.012 μB per formula unit
**DFT formation energy**: 0.011 eV/atom

Cell: 6.290 6.290 6.290 Å, 131.72 131.72 70.68°
Positions (direct):
La 0.000 0.000 0.000
Pr 0.250 0.750 0.500
Pr 0.500 0.500 0.000
Pr 0.750 0.250 0.500